1.
A relaxed structure of NbCuN2. Source: Alexandria via LeMat-Bulk, functional GGA-PBEsol.

The calculation puts the total DFT energy (no corrections) at -7.88 eV/atom. The calculation puts the size of the total moment at 0.0 μB/f.u. The value obtained for the density is 8.202 g/cm³. For the volume, the calculation gives 9.336 Å³/atom. Its uncorrected formation energy is 0.169 eV/atom.

The space group is Fm-3m (No. 225) and the conventional cell measures 5.306, 5.306 and 5.306 Å, with angles of 90.00, 90.00 and 90.00 degrees. The asymmetric unit holds Nb at (0.000, 0.000, 0.000), Cu at (0.000, 0.000, 0.500) and N at (0.250, 0.250, 0.250).

---

2.
A relaxed structure of NbCuNO2. Source: Alexandria via LeMat-Bulk, functional GGA-PBEsol.

The calculation puts the total DFT energy (no corrections) at -6.89 eV/atom. The calculation puts the size of the total moment at 0.6 μB/f.u. The value obtained for the density is 6.873 g/cm³. For the volume, the calculation gives 9.782 Å³/atom. Its uncorrected formation energy is -0.057 eV/atom.

The space group is P4/mmm (No. 123) and the conventional cell measures 3.600, 3.600 and 3.774 Å, with angles of 90.00, 90.00 and 90.00 degrees. The asymmetric unit holds Nb at (0.000, 0.000, 0.000), Cu at (0.500, 0.500, 0.500), N at (0.500, 0.500, 0.000) and O at (0.000, 0.500, 0.500).

---

3.
A relaxed structure of NbCuTeN2. Source: Alexandria via LeMat-Bulk, functional GGA-PBEsol.

The calculation puts the total DFT energy (no corrections) at -5.66 eV/atom. The calculation puts the size of the total moment at 0.0 μB/f.u. The value obtained for the density is 7.004 g/cm³. For the volume, the calculation gives 14.796 Å³/atom. Its uncorrected formation energy is 1.488 eV/atom.

The space group is P4/mmm (No. 123) and the conventional cell measures 3.887, 3.887 and 4.896 Å, with angles of 90.00, 90.00 and 90.00 degrees. The asymmetric unit holds Nb at (0.000, 0.000, 0.000), Cu at (0.500, 0.500, 0.500), Te at (0.500, 0.500, 0.000) and N at (0.000, 0.500, 0.500).

---

4.
A relaxed structure of Y2NbCuN. Source: Alexandria via LeMat-Bulk, functional GGA-PBEsol.

The calculation puts the total DFT energy (no corrections) at -5.85 eV/atom. The calculation puts the size of the total moment at 1.5 μB/f.u. The value obtained for the density is 4.652 g/cm³. For the volume, the calculation gives 24.862 Å³/atom. Its uncorrected formation energy is 1.617 eV/atom.

The space group is P4/mmm (No. 123) and the conventional cell measures 5.281, 5.281 and 4.458 Å, with angles of 90.00, 90.00 and 90.00 degrees. The asymmetric unit holds Y at (0.000, 0.500, 0.000), Nb at (0.000, 0.000, 0.000), Cu at (0.000, 0.000, 0.500) and N at (0.500, 0.500, 0.500).

---

5.
A relaxed structure of CuNiN3. Source: Alexandria via LeMat-Bulk, functional GGA-PBEsol.

The calculation puts the total DFT energy (no corrections) at -5.10 eV/atom. The calculation puts the size of the total moment at 0.0 μB/f.u. The value obtained for the density is 5.569 g/cm³. For the volume, the calculation gives 9.796 Å³/atom. Its uncorrected formation energy is 2.116 eV/atom.

The space group is Pm-3m (No. 221) and the conventional cell measures 3.659, 3.659 and 3.659 Å, with angles of 90.00, 90.00 and 90.00 degrees. The asymmetric unit holds Cu at (0.000, 0.000, 0.000), Ni at (0.500, 0.500, 0.500) and N at (0.000, 0.000, 0.500).

---

6.
A relaxed structure of CuNiN2. Source: Alexandria via LeMat-Bulk, functional GGA-PBEsol.

The calculation puts the total DFT energy (no corrections) at -6.37 eV/atom. The calculation puts the size of the total moment at 0.0 μB/f.u. The value obtained for the density is 6.577 g/cm³. The value obtained for the polymorph energy (0 for the lowest one) is 0 kJ/mol of formula units. For the volume, the calculation gives 9.484 Å³/atom. Its uncorrected formation energy is 0.513 eV/atom.

The space group is R-3m (No. 166, hexagonal axes) and the conventional cell measures 2.7738, 2.7738 and 17.0801 Å, with angles of 90.00, 90.00 and 120.00 degrees. The asymmetric unit holds Cu at (0.0000, 0.0000, 0.0000), Ni at (0.0000, 0.0000, 0.5000) and N at (0.0000, 0.0000, 0.1066).

---

7.
A relaxed structure of CuNiN2. Source: Alexandria via LeMat-Bulk, functional GGA-PBEsol.

The calculation puts the total DFT energy (no corrections) at -6.06 eV/atom. The calculation puts the size of the total moment at 0.0 μB/f.u. The value obtained for the density is 6.387 g/cm³. The value obtained for the polymorph energy (0 for the lowest one) is 122 kJ/mol of formula units. For the volume, the calculation gives 9.766 Å³/atom. Its uncorrected formation energy is 0.828 eV/atom.

The space group is R-3m (No. 166, hexagonal axes) and the conventional cell measures 2.8406, 2.8406 and 16.7704 Å, with angles of 90.00, 90.00 and 120.00 degrees. The asymmetric unit holds Cu at (0.0000, 0.0000, 0.0000), Ni at (0.0000, 0.0000, 0.5000) and N at (0.0000, 0.0000, 0.3955).

---

8.
A relaxed structure of CuNi3N. Source: Alexandria via LeMat-Bulk, functional GGA-PBEsol.

The calculation puts the total DFT energy (no corrections) at -6.35 eV/atom. The calculation puts the size of the total moment at 0.0 μB/f.u. The value obtained for the density is 8.477 g/cm³. For the volume, the calculation gives 9.937 Å³/atom. Its uncorrected formation energy is -0.080 eV/atom.

The space group is Pm-3m (No. 221) and the conventional cell measures 3.676, 3.676 and 3.676 Å, with angles of 90.00, 90.00 and 90.00 degrees. The asymmetric unit holds Cu at (0.000, 0.000, 0.000), Ni at (0.000, 0.500, 0.500) and N at (0.500, 0.500, 0.500).